1.
First-principles (GGA-PBEsol) data for a relaxed structure of Li4Ti11O24, as listed in Alexandria.

Summary:
* SG: C2/m, No. 12
* total magnetic moment: 0.00 μB per formula unit
* raw formation energy: -277.9 kJ/mol of atoms
* E above lowest polymorph: 25 meV/atom
* mass density: 3.598 Mg/m³

The structure in extended XYZ format:
```
39
Lattice="9.6422 -2.9588 0.0000 9.6422 2.9588 0.0000 -3.5556 0.0000 7.5884" Properties=species:S:1:pos:R:3 pbc="T T T"
Li -0.0699 0.0000 3.5909
Li 5.1415 0.0000 5.9890
Li 10.5873 0.0000 1.5994
Li 15.7987 0.0000 3.9975
Ti 3.0433 1.4794 3.7942
Ti 2.4601 0.0000 1.2220
Ti 7.5818 1.5301 1.2042
Ti 8.1470 1.5301 6.3842
Ti 5.2493 0.0000 2.3546
Ti 3.0433 -1.4794 3.7942
Ti 7.8644 0.0000 3.7942
Ti 10.4795 0.0000 5.2338
Ti 7.5818 -1.5301 1.2042
Ti 8.1470 -1.5301 6.3842
Ti 13.2687 0.0000 6.3664
O -2.4637 0.0000 5.6630
O 3.8570 1.2862 2.0484
O 4.6259 1.5339 7.0312
O -0.3172 0.0000 7.0216
O 1.8612 0.0000 3.1563
O 6.6022 1.2977 3.0590
O 4.2391 0.0000 4.2773
O 11.1029 1.5339 0.5572
O 6.2718 0.0000 0.8378
O 9.1266 1.2977 4.5294
O 3.8570 -1.2862 2.0484
O 8.6414 0.0000 1.9583
O 7.0874 0.0000 5.6301
O 11.8718 1.2862 5.5400
O 6.6022 -1.2977 3.0590
O 9.4570 0.0000 6.7506
O 4.6259 -1.5339 7.0312
O 11.4897 0.0000 3.3111
O 9.1266 -1.2977 4.5294
O 13.8676 0.0000 4.4321
O 16.0460 0.0000 0.5668
O 11.1029 -1.5339 0.5572
O 11.8718 -1.2862 5.5400
O 18.1925 0.0000 1.9254
```

---

2.
First-principles (GGA-PBEsol) data for a relaxed structure of Li3TiV4O8, as listed in Alexandria.

Summary:
* SG: C2/m, No. 12
* total magnetic moment: 0.74 μB per formula unit
* raw formation energy: -218.9 kJ/mol of atoms
* mass density: 4.841 Mg/m³

The structure in extended XYZ format:
```
16
Lattice="4.9726 -2.8679 0.0000 4.9726 2.8679 0.0000 -3.3141 0.0000 4.8159" Properties=species:S:1:pos:R:3 pbc="T T T"
Li 0.0000 0.0000 0.0000
Li 2.4863 1.4340 0.0000
Li 2.4863 -1.4340 0.0000
Ti 3.3156 0.0000 2.4079
V -1.6570 0.0000 2.4079
V 0.8293 1.4340 2.4079
V 0.8293 -1.4340 2.4079
V 4.9726 0.0000 0.0000
O 4.1398 1.4446 1.1831
O 0.0004 0.0000 3.6191
O 2.4914 1.4446 3.6327
O 1.6707 0.0000 1.2611
O 4.9605 0.0000 3.5548
O 4.1398 -1.4446 1.1831
O 6.6308 0.0000 1.1968
O 2.4914 -1.4446 3.6327
```

---

3.
First-principles (GGA-PBEsol) data for a relaxed structure of Li2TiVO4, as listed in Alexandria.

Summary:
* SG: P2/m, No. 10
* total magnetic moment: 1.84 μB per formula unit
* raw formation energy: -239.5 kJ/mol of atoms
* E above lowest polymorph: 24 meV/atom
* mass density: 4.224 Mg/m³

The structure in extended XYZ format:
```
8
Lattice="4.9453 0.0000 0.0000 0.0000 2.8633 0.0000 -1.6597 0.0000 4.9049" Properties=species:S:1:pos:R:3 pbc="T T T"
Li 0.0000 0.0000 0.0000
Li 2.4727 1.4316 0.0000
Ti -0.8299 1.4316 2.4525
V 1.6428 0.0000 2.4525
O -0.0181 0.0000 3.6218
O 0.8212 1.4316 1.2846
O 2.4644 1.4316 3.6204
O 3.3037 0.0000 1.2831
```

---

4.
First-principles (GGA-PBEsol) data for a relaxed structure of LiTiVO4, as listed in Alexandria.

Summary:
* SG: Imma, No. 74
* total magnetic moment: 1.30 μB per formula unit
* raw formation energy: -246.6 kJ/mol of atoms
* E above lowest polymorph: 10 meV/atom
* mass density: 4.057 Mg/m³

The structure in extended XYZ format:
```
14
Lattice="-2.8913 2.9293 4.1013 2.8913 -2.9293 4.1013 2.8913 2.9293 -4.1013" Properties=species:S:1:pos:R:3 pbc="T T T"
Li 0.0000 0.0000 0.0000
Li 0.0000 2.9293 0.0000
Ti 2.8913 0.0000 0.0000
Ti 0.0000 0.0000 4.1013
V -1.4457 1.4647 2.0506
V 1.4457 1.4647 2.0506
O 1.5335 1.4647 0.0743
O 4.2492 1.4647 0.0743
O 2.8913 0.1627 1.9825
O 0.0000 0.1627 2.1187
O 2.8913 2.7666 1.9825
O 0.0000 2.7666 2.1187
O -1.3578 1.4647 4.0270
O 1.3578 1.4647 4.0270
```